TbPr15Dy4 (PBE, optimized geometry); ΔE_f = 0.01 eV/atom; uncorrected energy = -4.726 eV/atom
1.0
5.202 0.000 0.000
0.000 5.202 0.000
0.000 0.000 25.870
Tb Pr Dy
1 15 4
Cartesian
0.000 0.000 0.000
0.000 2.601 2.594
0.000 2.601 7.763
0.000 2.601 12.935
0.000 2.601 18.107
0.000 2.601 23.277
2.601 0.000 2.594
2.601 0.000 7.763
2.601 0.000 12.935
2.601 0.000 18.107
2.601 0.000 23.277
2.601 2.601 0.000
2.601 2.601 5.179
2.601 2.601 10.349
2.601 2.601 15.521
2.601 2.601 20.691
0.000 0.000 5.179
0.000 0.000 10.349
0.000 0.000 15.521
0.000 0.000 20.691